Y3PuTl3Se8: relaxed, GGA-PBE.

Calculated values
E	-5.94	eV/atom
DOS(E_F)	0.741	states/eV per atom

Structure (CIF):
```
data_Y3PuTl3Se8
_symmetry_space_group_name_H-M 'R -3 m'
_symmetry_Int_Tables_number 166
_symmetry_space_group_name_Hall '-R 3 2"'
_cell_length_a 8.3253
_cell_length_b 8.3253
_cell_length_c 23.4341
_cell_angle_alpha 90.00
_cell_angle_beta 90.00
_cell_angle_gamma 120.00
loop_
_atom_site_label
_atom_site_type_symbol
_atom_site_fract_x
_atom_site_fract_y
_atom_site_fract_z
Y1 Y 0.0000 0.5000 0.0000
Pu1 Pu 0.0000 0.0000 0.0000
Tl1 Tl 0.0000 0.5000 0.5000
Se1 Se 0.0000 0.0000 0.2650
Se2 Se 0.0042 0.5021 0.7339
```



Y2PuTl3Se6: relaxed, GGA-PBE.

Calculated values
E	-5.89	eV/atom
DOS(E_F)	1.048	states/eV per atom

Structure (CIF):
```
data_Y2PuTl3Se6
_symmetry_space_group_name_H-M 'C 1 2/m 1'
_symmetry_Int_Tables_number 12
_cell_length_a 7.305
_cell_length_b 12.650
_cell_length_c 8.105
_cell_angle_alpha 90.00
_cell_angle_beta 107.48
_cell_angle_gamma 90.00
loop_
_symmetry_equiv_pos_as_xyz
'x,y,z'
'-x,-y,-z'
'-x,y,-z'
'x,-y,z'
'x+1/2,y+1/2,z'
'-x+1/2,-y+1/2,-z'
'-x+1/2,y+1/2,-z'
'x+1/2,-y+1/2,z'
loop_
_atom_site_label
_atom_site_type_symbol
_atom_site_fract_x
_atom_site_fract_y
_atom_site_fract_z
Y1 Y 0.000 0.167 0.000
Pu1 Pu 0.000 0.500 0.000
Tl1 Tl 0.000 0.000 0.500
Tl2 Tl 0.000 0.334 0.500
Se1 Se 0.232 0.000 0.205
Se2 Se 0.237 0.332 0.205
```



Listing energy relative to the elements, uncorrected for the structures above in their given order: -1357.0 -1285.5 meV/atom.